Entry a
The following is a PBE calculation of a relaxed Ca2HgN crystal, from Alexandria.

Computed properties:
Its space group is R-3m, No. 166.

POSCAR file:
```
Ca2HgN
1.0
-0.567 -1.662 -3.117
0.355 -3.554 -0.223
-8.062 -2.660 0.831
Ca Hg N
2 1 1
Direct
0.283 0.283 0.152
0.717 0.717 0.848
0.500 0.500 0.500
0.000 0.000 0.000
```

Entry b
The following is a PBE calculation of a relaxed Ca2HgN crystal, from Alexandria.

Computed properties:
Its space group is Ima2, No. 46.

POSCAR file:
```
Ca2HgN
1.0
-3.092 0.840 3.663
-0.908 -5.785 3.793
3.376 -0.095 6.105
Ca Hg N
4 2 2
Direct
0.490 0.766 0.253
0.510 0.247 0.734
0.840 0.652 0.669
0.160 0.831 0.848
0.836 0.169 0.158
0.164 0.342 0.331
0.375 0.621 0.628
0.625 0.872 0.879
```

Stability, lowest: entry b

Entry a
The following is a PBE calculation of a relaxed CaHg3N crystal, from Alexandria.

Computed properties:
Its space group is Pm-3m, No. 221.

POSCAR file:
```
CaHg3N
1.0
4.897 0.000 0.000
0.000 4.897 0.000
0.000 0.000 4.897
Ca Hg N
1 3 1
Direct
0.500 0.500 0.500
0.000 0.500 0.000
0.000 0.000 0.500
0.500 0.000 0.000
0.000 0.000 0.000
```

Entry b
The following is a PBE calculation of a relaxed CaHg3N crystal, from Alexandria.

Computed properties:
Its space group is Pm-3m, No. 221.

POSCAR file:
```
CaHg3N
1.0
6.300 0.000 0.000
0.000 6.300 0.000
0.000 0.000 6.300
Ca Hg N
1 3 1
Direct
0.000 0.000 0.000
0.000 0.500 0.000
0.000 0.000 0.500
0.500 0.000 0.000
0.500 0.500 0.500
```

Stability, lowest: entry b

Entry a
The following is a PBE calculation of a relaxed Ca4Hg2N crystal, from Alexandria.

Computed properties:
Its space group is Cmmm, No. 65.

POSCAR file:
```
Ca4Hg2N
1.0
3.537 0.000 0.000
0.000 4.805 -1.817
0.000 1.979 12.492
Ca Hg N
4 2 1
Direct
0.500 0.560 0.120
0.000 0.702 0.405
0.500 0.440 0.880
0.000 0.298 0.595
0.500 0.177 0.354
0.500 0.823 0.646
0.000 0.500 0.000
```

Entry b
The following is a PBE calculation of a relaxed Ca4Hg2N crystal, from Alexandria.

Computed properties:
Its space group is I4/mmm, No. 139.

POSCAR file:
```
Ca4Hg2N
1.0
-1.880 2.377 3.762
-4.078 -2.555 -0.423
-0.023 -5.633 6.650
Ca Hg N
4 2 1
Direct
0.158 0.158 0.684
0.842 0.842 0.316
0.000 0.500 0.000
0.500 0.000 0.000
0.356 0.356 0.288
0.644 0.644 0.712
0.000 0.000 0.000
```

Stability, lowest: entry a

Entry a
The following is a PBE calculation of a relaxed Ca2HgOsN crystal, from Alexandria.

Computed properties:
Its space group is P4/mmm, No. 123.

POSCAR file:
```
Ca2HgOsN
1.0
-2.816 4.379 2.309
0.137 -1.693 3.378
4.947 2.600 1.102
Ca Os Hg N
2 1 1 1
Direct
0.000 0.000 0.500
0.500 0.000 0.000
0.000 0.000 0.000
0.500 0.500 0.500
0.000 0.500 0.000
```

Entry b
The following is a PBE calculation of a relaxed Ca2HgOsN crystal, from Alexandria.

Computed properties:
Its space group is P4/mmm, No. 123.

POSCAR file:
```
Ca2HgOsN
1.0
5.125 0.000 0.000
0.000 5.125 0.000
0.000 0.000 3.811
Ca Os Hg N
2 1 1 1
Direct
0.000 0.500 0.000
0.500 0.000 0.000
0.000 0.000 0.500
0.500 0.500 0.500
0.000 0.000 0.000
```

Stability, lowest: entry a